1.
Crystalline KTmZr at its relaxed geometry, computed with PBE.

abc: 7.9578 7.9578 7.9578
angles: 90.00 90.00 90.00
Atoms (fractional coordinates):
K (0.0000, 0.0000, 0.0000)
K (0.0000, 0.5000, 0.5000)
K (0.5000, 0.0000, 0.5000)
K (0.5000, 0.5000, 0.0000)
Tm (0.0000, 0.0000, 0.5000)
Tm (0.0000, 0.5000, 0.0000)
Tm (0.5000, 0.0000, 0.0000)
Tm (0.5000, 0.5000, 0.5000)
Zr (0.2500, 0.2500, 0.2500)
Zr (0.2500, 0.7500, 0.7500)
Zr (0.7500, 0.2500, 0.7500)
Zr (0.7500, 0.7500, 0.2500)

Results
Space-group type: F-43m (216)
Total DFT energy (no corrections) (eV/atom): -3.2428
Polymorph energy (0 for the lowest one) (meV per atom): 0

2.
Crystalline KUW at its relaxed geometry, computed with PBE.

abc: 6.7863 6.7863 6.7863
angles: 90.00 90.00 90.00
Atoms (fractional coordinates):
K (0.0000, 0.0000, 0.0000)
K (0.0000, 0.5000, 0.5000)
K (0.5000, 0.0000, 0.5000)
K (0.5000, 0.5000, 0.0000)
U (0.0000, 0.0000, 0.5000)
U (0.0000, 0.5000, 0.0000)
U (0.5000, 0.0000, 0.0000)
U (0.5000, 0.5000, 0.5000)
W (0.2500, 0.2500, 0.7500)
W (0.2500, 0.7500, 0.2500)
W (0.7500, 0.2500, 0.2500)
W (0.7500, 0.7500, 0.7500)

Results
Space-group type: F-43m (216)
Total DFT energy (no corrections) (eV/atom): -6.2429
Polymorph energy (0 for the lowest one) (meV per atom): 0

3.
Crystalline KYU at its relaxed geometry, computed with PBE.

abc: 7.9130 7.9130 7.9130
angles: 90.00 90.00 90.00
Atoms (fractional coordinates):
K (0.0000, 0.0000, 0.0000)
K (0.0000, 0.5000, 0.5000)
K (0.5000, 0.0000, 0.5000)
K (0.5000, 0.5000, 0.0000)
Y (0.2500, 0.2500, 0.2500)
Y (0.2500, 0.7500, 0.7500)
Y (0.7500, 0.2500, 0.7500)
Y (0.7500, 0.7500, 0.2500)
U (0.0000, 0.0000, 0.5000)
U (0.0000, 0.5000, 0.0000)
U (0.5000, 0.0000, 0.0000)
U (0.5000, 0.5000, 0.5000)

Results
Space-group type: F-43m (216)
Total DFT energy (no corrections) (eV/atom): -4.4266
Polymorph energy (0 for the lowest one) (meV per atom): 0